## a
A plane-wave DFT calculation with SCAN was carried out for a PBEsol-optimized structure of Y5In3.

Calculated values
N(E_F) ... 1.133 states/eV/atom

POSCAR file:
```
Y5In3
1.0
7.971 0.000 0.000
0.000 10.610 0.000
0.000 0.000 5.101
Y In
10 6
Direct
0.000 0.000 0.000
0.216 0.500 0.500
0.250 0.250 0.000
0.250 0.750 0.000
0.284 0.000 0.500
0.500 0.500 0.000
0.716 0.000 0.500
0.750 0.250 0.000
0.750 0.750 0.000
0.784 0.500 0.500
0.000 0.212 0.500
0.000 0.500 0.000
0.000 0.788 0.500
0.500 0.000 0.000
0.500 0.288 0.500
0.500 0.712 0.500
```

---

## b
A plane-wave DFT calculation with SCAN was carried out for a PBEsol-optimized structure of Y5In3.

Calculated values
N(E_F) ... 1.368 states/eV/atom

POSCAR file:
```
Y5In3
1.0
8.952 0.000 0.000
-4.476 7.753 0.000
0.000 0.000 6.444
Y In
10 6
Direct
0.000 0.237 0.250
0.000 0.763 0.750
0.237 0.000 0.250
0.237 0.237 0.750
0.333 0.667 0.000
0.333 0.667 0.500
0.667 0.333 0.000
0.667 0.333 0.500
0.763 0.000 0.750
0.763 0.763 0.250
0.000 0.401 0.750
0.000 0.599 0.250
0.401 0.000 0.750
0.401 0.401 0.250
0.599 0.000 0.250
0.599 0.599 0.750
```

---

Which of them is least stable? Easy: a.

---

## a
A plane-wave DFT calculation with SCAN was carried out for a PBEsol-optimized structure of Ir.

Calculated values
N(E_F) ... 1.011 states/eV/atom

POSCAR file:
```
Ir
1.0
2.715 0.000 0.000
-1.357 2.351 0.000
0.000 0.000 4.424
Ir
2
Direct
0.333 0.667 0.250
0.667 0.333 0.750
```

---

## b
A plane-wave DFT calculation with SCAN was carried out for a PBEsol-optimized structure of Ir.

Calculated values
N(E_F) ... 1.323 states/eV/atom

POSCAR file:
```
Ir
1.0
2.542 0.000 0.000
0.000 2.542 0.000
0.000 0.000 2.542
Ir
1
Direct
0.000 0.000 0.000
```

---

Which of them is least stable? Easy: b.

---

## a
A plane-wave DFT calculation with SCAN was carried out for a PBEsol-optimized structure of KLa2Ir.

Calculated values
N(E_F) ... 0.831 states/eV/atom

POSCAR file:
```
KLa2Ir
1.0
7.327 0.000 0.000
0.000 4.225 0.000
-2.384 0.000 10.471
K La Ir
2 4 2
Direct
0.000 0.000 0.000
0.500 0.500 0.000
0.212 0.000 0.639
0.288 0.500 0.361
0.712 0.500 0.639
0.788 0.000 0.361
0.000 0.500 0.500
0.500 0.000 0.500
```

---

## b
A plane-wave DFT calculation with SCAN was carried out for a PBEsol-optimized structure of KLa2Ir.

Calculated values
N(E_F) ... 0.907 states/eV/atom

POSCAR file:
```
KLa2Ir
1.0
3.761 0.000 0.000
0.000 3.967 0.000
0.000 0.000 21.107
K La Ir
2 4 2
Direct
0.000 0.000 0.000
0.500 0.500 0.500
0.000 0.000 0.670
0.000 0.500 0.818
0.500 0.000 0.318
0.500 0.500 0.170
0.000 0.500 0.266
0.500 0.000 0.766
```

---

Which of them is least stable? Easy: b.

---

## a
A plane-wave DFT calculation with SCAN was carried out for a PBEsol-optimized structure of KMg2Ir.

Calculated values
N(E_F) ... 0.385 states/eV/atom

POSCAR file:
```
KMg2Ir
1.0
9.288 0.000 0.000
0.000 3.101 0.000
-2.374 0.000 7.711
K Mg Ir
2 4 2
Direct
0.000 0.000 0.000
0.500 0.500 0.000
0.164 0.000 0.619
0.367 0.000 0.368
0.664 0.500 0.619
0.867 0.500 0.368
0.139 0.500 0.360
0.639 0.000 0.360
```

---

## b
A plane-wave DFT calculation with SCAN was carried out for a PBEsol-optimized structure of KMg2Ir.

Calculated values
N(E_F) ... 0.545 states/eV/atom

POSCAR file:
```
KMg2Ir
1.0
3.007 0.000 0.000
0.000 4.075 0.000
0.000 0.000 8.068
K Mg Ir
1 2 1
Direct
0.000 0.000 0.000
0.000 0.000 0.606
0.500 0.500 0.376
0.500 0.500 0.695
```

---

Which of them is least stable? Easy: a.

---

## a
A plane-wave DFT calculation with SCAN was carried out for a PBEsol-optimized structure of K2MoIr.

Calculated values
N(E_F) ... 0.333 states/eV/atom

POSCAR file:
```
K2MoIr
1.0
7.315 0.000 0.000
0.000 7.315 0.000
0.000 0.000 7.315
K Mo Ir
8 4 4
Direct
0.250 0.250 0.250
0.250 0.250 0.750
0.250 0.750 0.250
0.250 0.750 0.750
0.750 0.250 0.250
0.750 0.250 0.750
0.750 0.750 0.250
0.750 0.750 0.750
0.000 0.000 0.000
0.000 0.500 0.500
0.500 0.000 0.500
0.500 0.500 0.000
0.000 0.000 0.500
0.000 0.500 0.000
0.500 0.000 0.000
0.500 0.500 0.500
```

---

## b
A plane-wave DFT calculation with SCAN was carried out for a PBEsol-optimized structure of K2MoIr.

Calculated values
N(E_F) ... 1.075 states/eV/atom

POSCAR file:
```
K2MoIr
1.0
2.796 0.000 0.000
-1.398 2.421 0.000
0.000 0.000 35.195
K Mo Ir
6 3 3
Direct
0.000 0.000 0.244
0.000 0.000 0.756
0.333 0.667 0.423
0.333 0.667 0.911
0.667 0.333 0.089
0.667 0.333 0.577
0.000 0.000 0.000
0.333 0.667 0.667
0.667 0.333 0.333
0.000 0.000 0.500
0.333 0.667 0.167
0.667 0.333 0.833
```

---

## c
A plane-wave DFT calculation with SCAN was carried out for a PBEsol-optimized structure of K2MoIr.

Calculated values
N(E_F) ... 0.412 states/eV/atom

POSCAR file:
```
K2MoIr
1.0
3.745 0.000 0.000
0.000 3.745 0.000
0.000 0.000 11.507
K Mo Ir
4 2 2
Direct
0.000 0.500 0.250
0.000 0.500 0.750
0.500 0.000 0.250
0.500 0.000 0.750
0.000 0.000 0.000
0.500 0.500 0.500
0.000 0.000 0.500
0.500 0.500 0.000
```

---

Which of them is least stable? Easy: a.

---

## a
A plane-wave DFT calculation with SCAN was carried out for a PBEsol-optimized structure of K2MoIr.

Calculated values
N(E_F) ... 0.793 states/eV/atom

POSCAR file:
```
K2MoIr
1.0
8.213 0.000 0.000
0.000 2.955 0.000
-0.368 0.000 9.962
K Mo Ir
4 2 2
Direct
0.000 0.000 0.000
0.232 0.000 0.568
0.500 0.500 0.000
0.732 0.500 0.568
0.473 0.000 0.319
0.973 0.500 0.319
0.243 0.500 0.241
0.743 0.000 0.241
```

---

## b
A plane-wave DFT calculation with SCAN was carried out for a PBEsol-optimized structure of K2MoIr.

Calculated values
N(E_F) ... 0.823 states/eV/atom

POSCAR file:
```
K2MoIr
1.0
2.710 0.000 0.000
0.000 5.219 0.000
0.000 0.000 5.710
K Mo Ir
2 1 1
Direct
0.000 0.248 0.000
0.000 0.752 0.000
0.500 0.500 0.500
0.500 0.000 0.500
```

---

Which of them is least stable? Easy: b.